A plane-wave DFT calculation with PBE-GGA was carried out for a relaxed LaHg2PN crystal.

Values from the calculation:
Density of states at the Fermi level = 1.705 states/eV/cell
Formation energy without anion corrections = -1.14 kcal/mol of atoms

abc: 4.6603 4.6603 5.0136
angles: 90.00 90.00 90.00
Element x y z (fractional)
N (0.0000, 0.0000, 0.0000)
La (0.0000, 0.0000, 0.5000)
Hg (0.0000, 0.5000, 0.0000)
Hg (0.5000, 0.0000, 0.0000)
P (0.5000, 0.5000, 0.5000)